PBE BaCa6Ac, relaxed; final energy = -0.0811 hartree per atom; DOS at the Fermi energy = 10.1 states/eV/cell; E_form = 49 meV per atom
1.0
-1.531 3.153 4.477
-1.052 -4.732 2.972
10.580 -0.054 3.656
Ba Ca Ac
1 6 1
Cartesian
0.000 0.000 0.000
-1.291 -0.789 3.725
3.999 -0.817 5.553
1.975 1.562 3.186
7.073 1.536 4.948
2.215 -2.380 2.433
7.313 -2.406 4.195
5.290 -0.027 1.828